Record 1
# NdGdAu2

Crystalline NdGdAu2 at its relaxed geometry (PBE, OQMD).

Computed properties:
Volume = 25.32 Å³ per atom
Energy above the lowest structure with this stoichiometry = 0.0 meV per atom
E = -0.3547 Ry/atom

abc: 4.7692 7.3575 5.7737
angles: 90.00 90.00 90.00
Sites, in units of the cell vectors:
Nd1 0.0000 0.0656 0.0000
Nd2 0.5000 0.9344 0.5000
Gd1 0.0000 0.5645 0.2115
Gd2 0.5000 0.4355 0.7115
Au1 0.0000 0.2199 0.5084
Au2 0.0000 0.6981 0.7056
Au3 0.5000 0.3019 0.2056
Au4 0.5000 0.7801 0.0084

=====

Record 2
# Cs2AgSnI6

Crystalline Cs2AgSnI6 at its relaxed geometry (PBE, OQMD).

Computed properties:
Volume = 43.38 Å³ per atom
Energy above the lowest structure with this stoichiometry = 1.8 meV per atom
E = -0.1932 Ry/atom

abc: 8.4747 8.4863 14.7321
angles: 90.00 125.03 90.00
Sites, in units of the cell vectors:
Cs1 0.2418 0.0249 0.2494
Cs2 0.2418 0.4751 0.7494
Cs3 0.7582 0.5249 0.2506
Cs4 0.7582 0.9751 0.7506
Ag1 0.0000 0.0000 0.5000
Ag2 0.0000 0.5000 0.0000
Sn1 0.5000 0.0000 0.0000
Sn2 0.5000 0.5000 0.5000
I1 0.2091 0.2305 0.9834
I2 0.2091 0.2695 0.4834
I3 0.2559 0.7252 0.9864
I4 0.2559 0.7748 0.4864
I5 0.2777 0.5039 0.2485
I6 0.2777 0.9961 0.7485
I7 0.7223 0.0039 0.2515
I8 0.7223 0.4961 0.7515
I9 0.7441 0.2252 0.5136
I10 0.7441 0.2748 0.0136
I11 0.7909 0.7305 0.5166
I12 0.7909 0.7695 0.0166

=====

Record 3
# NaHfTlNi

Crystalline NaHfTlNi at its relaxed geometry (PBE, OQMD).

Computed properties:
Volume = 19.47 Å³ per atom
Energy above the lowest structure with this stoichiometry = 66.9 meV per atom
E = -0.3333 Ry/atom

abc: 6.7789 6.7789 6.7789
angles: 90.00 90.00 90.00
Sites, in units of the cell vectors:
Na1 0.0000 0.0000 0.0000
Na2 0.0000 0.5000 0.5000
Na3 0.5000 0.0000 0.5000
Na4 0.5000 0.5000 0.0000
Hf1 0.0000 0.0000 0.5000
Hf2 0.0000 0.5000 0.0000
Hf3 0.5000 0.0000 0.0000
Hf4 0.5000 0.5000 0.5000
Tl1 0.2500 0.2500 0.7500
Tl2 0.2500 0.7500 0.2500
Tl3 0.7500 0.2500 0.2500
Tl4 0.7500 0.7500 0.7500
Ni1 0.2500 0.2500 0.2500
Ni2 0.2500 0.7500 0.7500
Ni3 0.7500 0.2500 0.7500
Ni4 0.7500 0.7500 0.2500